#P
A relaxed Li3SiPt crystal, computed with PBE.

Summary:
SG: Pm-3m (221)

Cell lengths 4.6056, 4.6056, 4.6056 Å; angles 90.00, 90.00, 90.00 degrees
Element x y z (fractional)
Li  0.0000  0.0000  0.5000
Li  0.0000  0.5000  0.0000
Li  0.5000  0.0000  0.0000
Si  0.5000  0.5000  0.5000
Pt  0.0000  0.0000  0.0000

---

#Q
A relaxed Li3SiPt crystal, computed with PBE.

Summary:
SG: R3m (160)

Cell lengths 5.0334, 5.0334, 5.0334 Å; angles 54.31, 54.31, 54.31 degrees
Element x y z (fractional)
Li  0.0005  0.4997  0.4997
Li  0.4997  0.0005  0.4997
Li  0.4997  0.4997  0.0005
Si  0.1509  0.1509  0.1509
Pt  0.4979  0.4979  0.4979

---

Most stable to least stable: #Q, #P

---

#P
A relaxed Li2SnPt2 crystal, computed with PBE.

Summary:
SG: P4/mbm (127)

Cell lengths 7.2445, 7.2445, 2.8773 Å; angles 90.00, 90.00, 90.00 degrees
Element x y z (fractional)
Li  0.1132  0.3868  0.0000
Li  0.3868  0.8868  0.0000
Li  0.6132  0.1132  0.0000
Li  0.8868  0.6132  0.0000
Sn  0.0000  0.0000  0.0000
Sn  0.5000  0.5000  0.0000
Pt  0.1840  0.6840  0.5000
Pt  0.3160  0.1840  0.5000
Pt  0.6840  0.8160  0.5000
Pt  0.8160  0.3160  0.5000

---

#Q
A relaxed Li2SnPt2 crystal, computed with PBE.

Summary:
SG: I4/mmm (139)

Cell lengths 7.2215, 7.2215, 7.2215 Å; angles 151.93, 151.93, 40.12 degrees
Element x y z (fractional)
Li  0.2500  0.7500  0.5000
Li  0.7500  0.2500  0.5000
Sn  0.0000  0.0000  0.0000
Pt  0.3959  0.3959  0.0000
Pt  0.6041  0.6041  0.0000

---

#R
A relaxed Li2SnPt2 crystal, computed with PBE.

Summary:
SG: P-1 (2)

Cell lengths 4.7188, 5.1423, 7.4596 Å; angles 109.37, 94.71, 109.75 degrees
Element x y z (fractional)
Li  0.0827  0.2992  0.0463
Li  0.1140  0.0970  0.3501
Li  0.8860  0.9030  0.6499
Li  0.9173  0.7008  0.9537
Sn  0.3251  0.5191  0.7467
Sn  0.6749  0.4809  0.2533
Pt  0.2686  0.6957  0.4409
Pt  0.4923  0.8733  0.1412
Pt  0.5077  0.1267  0.8588
Pt  0.7314  0.3043  0.5591

---

Most stable to least stable: #R, #P, #Q

---

#P
A relaxed Li2SnPt2 crystal, computed with PBE.

Summary:
SG: P4/mbm (127)

Cell lengths 7.2431, 7.2431, 3.0172 Å; angles 90.00, 90.00, 90.00 degrees
Element x y z (fractional)
Li  0.1454  0.3546  0.0000
Li  0.3546  0.8546  0.0000
Li  0.6454  0.1454  0.0000
Li  0.8546  0.6454  0.0000
Sn  0.0000  0.0000  0.5000
Sn  0.5000  0.5000  0.5000
Pt  0.1493  0.6493  0.5000
Pt  0.3507  0.1493  0.5000
Pt  0.6493  0.8507  0.5000
Pt  0.8507  0.3507  0.5000

---

#Q
A relaxed Li2SnPt2 crystal, computed with PBE.

Summary:
SG: C2/c (15)

Cell lengths 5.4116, 5.4116, 7.5653 Å; angles 103.58, 103.58, 47.60 degrees
Element x y z (fractional)
Li  0.0481  0.5541  0.8499
Li  0.4459  0.9519  0.6501
Li  0.5541  0.0481  0.3499
Li  0.9519  0.4459  0.1501
Sn  0.2472  0.7528  0.2500
Sn  0.7528  0.2472  0.7500
Pt  0.1464  0.6406  0.5475
Pt  0.3594  0.8536  0.9525
Pt  0.6406  0.1464  0.0475
Pt  0.8536  0.3594  0.4525

---

Most stable to least stable: #Q, #P